[1]
First-principles (SCAN) data for a PBEsol-optimized structure of BaNaGeSe2, as listed in Alexandria via LeMat-Bulk.

**D(E_F)**: 0.65 states/eV/atom
**Formation energy without anion corrections**: -461 meV per atom

The structure in CIF format:
```
data_BaNaGeSe2
_cell_length_a 5.297
_cell_length_b 5.297
_cell_length_c 4.863
_cell_angle_alpha 90.00
_cell_angle_beta 90.00
_cell_angle_gamma 90.00
_space_group_name_H-M_alt 'P 4/m m m'
_space_group_IT_number 123
_space_group_name_Hall '-P 4 2'
loop_
_atom_site_label
_atom_site_type_symbol
_atom_site_fract_x
_atom_site_fract_y
_atom_site_fract_z
Ba1 Ba 0.000 0.000 0.000
Na1 Na 0.500 0.500 0.500
Ge1 Ge 0.500 0.500 0.000
Se1 Se 0.000 0.500 0.500
```

---

[2]
First-principles (SCAN) data for a PBEsol-optimized structure of Ba2NbTcGe, as listed in Alexandria via LeMat-Bulk.

**D(E_F)**: 1.02 states/eV/atom
**Formation enthalpy at 0 K**: 1286 meV/atom

The structure in CIF format:
```
data_Ba2NbTcGe
_cell_length_a 5.792
_cell_length_b 5.792
_cell_length_c 4.960
_cell_angle_alpha 90.00
_cell_angle_beta 90.00
_cell_angle_gamma 90.00
_space_group_name_H-M_alt 'P 4/m m m'
_space_group_IT_number 123
_space_group_name_Hall '-P 4 2'
loop_
_atom_site_label
_atom_site_type_symbol
_atom_site_fract_x
_atom_site_fract_y
_atom_site_fract_z
Ba1 Ba 0.000 0.500 0.000
Nb1 Nb 0.000 0.000 0.000
Tc1 Tc 0.500 0.500 0.500
Ge1 Ge 0.000 0.000 0.500
```

---

[3]
First-principles (SCAN) data for a PBEsol-optimized structure of Ba2Ni5Ge4, as listed in Alexandria via LeMat-Bulk.

**D(E_F)**: 0.61 states/eV/atom
**Formation enthalpy at 0 K**: -492 meV/atom

The structure in CIF format:
```
data_Ba2Ni5Ge4
_cell_length_a 12.299
_cell_length_b 3.969
_cell_length_c 9.536
_cell_angle_alpha 90.00
_cell_angle_beta 118.69
_cell_angle_gamma 90.00
_space_group_name_H-M_alt 'C 1 2/m 1'
_space_group_IT_number 12
_space_group_name_Hall '-C 2y'
loop_
_atom_site_label
_atom_site_type_symbol
_atom_site_fract_x
_atom_site_fract_y
_atom_site_fract_z
Ba1 Ba 0.178 0.000 0.143
Ni1 Ni 0.000 0.500 0.500
Ni2 Ni 0.031 0.000 0.695
Ni3 Ni 0.163 0.500 0.422
Ge1 Ge 0.032 0.500 0.811
Ge2 Ge 0.143 0.000 0.555
```

---

[4]
First-principles (SCAN) data for a PBEsol-optimized structure of Ba10Ge7O3, as listed in Alexandria via LeMat-Bulk.

**D(E_F)**: 0.26 states/eV/atom
**Formation energy without anion corrections**: -1232 meV per atom

The structure in CIF format:
```
data_Ba10Ge7O3
_cell_length_a 11.8020
_cell_length_b 11.8020
_cell_length_c 4.9828
_cell_angle_alpha 90.00
_cell_angle_beta 90.00
_cell_angle_gamma 120.00
_space_group_name_H-M_alt 'P -6 m 2'
_space_group_IT_number 187
_space_group_name_Hall 'P -6 2'
loop_
_atom_site_label
_atom_site_type_symbol
_atom_site_fract_x
_atom_site_fract_y
_atom_site_fract_z
Ba1 Ba 0.0000 0.0000 0.0000
Ba2 Ba 0.0070 0.5035 0.5000
Ba3 Ba 0.2093 0.4186 0.0000
Ba4 Ba 0.4210 0.2105 0.0000
Ge1 Ge 0.2112 0.0006 0.5000
Ge2 Ge 0.3333 0.6667 0.5000
O1 O 0.5312 0.0623 0.0000
```

---

Which of these has the highest D(E_F)?
Ba2NbTcGe

---

What is the D(E_F) in the second record?
1.02 states/eV/atom

---

Look up the D(E_F) of the third one.
0.61 states/eV/atom

---

Which value of D(E_F) does entry 2 give?
1.02 states/eV/atom